[1]
Compound: PtRh2ICl
Source: Alexandria
Functional: PBE-GGA
Structure: relaxed

Cell: 4.261 6.494 4.261 Å, 90.00 90.00 90.00°
Sites, in units of the cell vectors:
1 I 0.000 0.500 0.000
2 Rh 0.500 0.000 0.000
3 Rh 0.000 0.000 0.500
4 Cl 0.000 0.000 0.000
5 Pt 0.500 0.500 0.500

Results
total magnetic moment	0.8	μB per cell
total energy	-3.71	eV/atom
formation energy (no corrections)	1.115	eV per atom



[2]
Compound: SbPtI2Cl
Source: Alexandria
Functional: PBE-GGA
Structure: relaxed

Cell: 5.441 5.441 5.505 Å, 90.00 90.00 90.00°
Sites, in units of the cell vectors:
1 I 0.000 0.500 0.000
2 I 0.500 0.000 0.000
3 Sb 0.000 0.000 0.500
4 Pt 0.500 0.500 0.500
5 Cl 0.000 0.000 0.000

Results
polymorph energy (0 for the lowest one)	1017	meV per atom
total magnetic moment	0.6	μB per cell
total energy	-1.80	eV/atom
formation energy (no corrections)	1.219	eV per atom



[3]
Compound: SbPtI2Cl
Source: Alexandria
Functional: PBE-GGA
Structure: relaxed

Cell: 5.518 5.518 5.233 Å, 90.00 90.00 90.00°
Sites, in units of the cell vectors:
1 Sb 0.000 0.000 0.500
2 Cl 0.500 0.500 0.500
3 Pt 0.000 0.000 0.000
4 I 0.000 0.500 0.000
5 I 0.500 0.000 0.000

Results
polymorph energy (0 for the lowest one)	0	meV per atom
total magnetic moment	0.0	μB per cell
total energy	-2.82	eV/atom
formation energy (no corrections)	0.202	eV per atom



formation energy (no corrections) of number 2 (SbPtI2Cl)?
1.219 eV per atom